This record from Alexandria describes a relaxed KBaSrMnO6 crystal. The functional is GGA+U.

The value obtained for the total magnetization is 0.0 Bohr magnetons per cell. The value obtained for the uncorrected energy is -57.904 eV per formula unit.

It has space group F-43m (No. 216), with a = 8.646 Å, b = 8.646 Å, c = 8.646 Å, α = 90.00°, β = 90.00° and γ = 90.00°. The asymmetric unit holds K at (0.000, 0.000, 0.000), Ba at (0.000, 0.000, 0.500), Sr at (0.250, 0.250, 0.750), Mn at (0.250, 0.250, 0.250) and O at (0.031, 0.250, 0.250).